Material: LiPr2Eu
Method: DFT, PBE
State: optimized geometry

The calculation puts the offset from the most stable computed form at 55.7 meV per atom. As for the magnetization: 7.4 μB/f.u. The crystal system is tetragonal. Its energy is -5.277 eV/atom.

abc: 5.7761 5.7761 4.0055
angles: 90.00 90.00 90.00
Closest atoms and distances in Å follow each position.
Space group P4/mmm (No. 123)
Inequivalent atoms, fractional coordinates:
Li 0.0000 0.0000 0.0000 [1 per cell]  8 Pr 3.51
Pr 0.0000 0.5000 0.5000 [2 per cell]  4 Eu 3.51, 4 Li 3.51
Eu 0.5000 0.5000 0.0000 [1 per cell]  8 Pr 3.51

Material: LiPr2Eu
Method: DFT, PBE
State: optimized geometry

The calculation puts the offset from the most stable computed form at 128.7 meV per atom. As for the magnetization: 8.0 μB/f.u. The crystal system is trigonal. Its energy is -5.204 eV/atom.

abc: 3.5953 3.5953 38.6056
angles: 90.00 90.00 120.00
Closest atoms and distances in Å follow each position.
Space group R-3m (No. 166, hexagonal axes)
Inequivalent atoms, fractional coordinates:
Li 0.0000 0.0000 0.0000 [3 per cell]  2 Pr 3.33, 6 Li 3.60
Pr 0.0000 0.0000 0.0863 [6 per cell]  1 Li 3.33, 6 Pr 3.60
Eu 0.0000 0.0000 0.5000 [3 per cell]  6 Eu 3.60, 6 Pr 3.73

Material: LiPr2Eu
Method: DFT, PBE
State: optimized geometry

The calculation puts the offset from the most stable computed form at 0.0 meV per atom. As for the magnetization: 8.0 μB/f.u. The crystal system is tetragonal. Its energy is -5.333 eV/atom.

abc: 3.7969 3.7969 9.2408
angles: 90.00 90.00 90.00
Closest atoms and distances in Å follow each position.
Space group P4/mmm (No. 123)
Inequivalent atoms, fractional coordinates:
Li 0.0000 0.0000 0.0000 [1 per cell]  8 Pr 3.30
Pr 0.5000 0.5000 0.2081 [2 per cell]  4 Li 3.30
Eu 0.0000 0.0000 0.5000 [1 per cell]  4 Eu 3.80, 8 Pr 3.81

Material: LiPr2Eu
Method: DFT, PBE
State: optimized geometry

The calculation puts the offset from the most stable computed form at 84.0 meV per atom. As for the magnetization: 7.3 μB/f.u. The crystal system is cubic. Its energy is -5.249 eV/atom.

abc: 8.1183 8.1183 8.1183
angles: 90.00 90.00 90.00
Closest atoms and distances in Å follow each position.
Space group Fm-3m (No. 225)
Inequivalent atoms, fractional coordinates:
Li 0.0000 0.0000 0.0000 [4 per cell]  8 Pr 3.52
Pr 0.2500 0.2500 0.2500 [8 per cell]  4 Eu 3.52, 4 Li 3.52
Eu 0.0000 0.0000 0.5000 [4 per cell]  8 Pr 3.52

Material: LiPrEu
Method: DFT, PBE
State: optimized geometry

The calculation puts the offset from the most stable computed form at 17.9 meV per atom. As for the magnetization: 7.6 μB/f.u. The crystal system is trigonal. Its energy is -5.538 eV/atom.

abc: 3.6613 3.6613 8.7285
angles: 90.00 90.00 120.00
Closest atoms and distances in Å follow each position.
Space group P3m1 (No. 156)
Inequivalent atoms, fractional coordinates:
Li 0.0000 0.0000 0.0000 [1 per cell]  3 Pr 3.46, 3 Eu 3.56, 6 Li 3.66
Pr 0.3333 0.6667 0.6858 [1 per cell]  3 Li 3.46, 6 Pr 3.66, 3 Eu 3.77
Eu 0.6667 0.3333 0.3279 [1 per cell]  3 Li 3.56, 6 Eu 3.66, 3 Pr 3.77

Material: LiPrEu2
Method: DFT, PBE
State: optimized geometry

The calculation puts the offset from the most stable computed form at 46.4 meV per atom. As for the magnetization: 14.8 μB/f.u. The crystal system is tetragonal. Its energy is -6.692 eV/atom.

abc: 5.9831 5.9831 3.9836
angles: 90.00 90.00 90.00
Closest atoms and distances in Å follow each position.
Space group P4/mmm (No. 123)
Inequivalent atoms, fractional coordinates:
Li 0.0000 0.0000 0.0000 [1 per cell]  8 Eu 3.59, 2 Li 3.98
Pr 0.5000 0.5000 0.0000 [1 per cell]  8 Eu 3.59, 2 Pr 3.98
Eu 0.0000 0.5000 0.5000 [2 per cell]  4 Li 3.59, 4 Pr 3.59, 2 Eu 3.98

Material: LiPrEu2
Method: DFT, PBE
State: optimized geometry

The calculation puts the offset from the most stable computed form at 126.7 meV per atom. As for the magnetization: 15.3 μB/f.u. The crystal system is cubic. Its energy is -6.612 eV/atom.

abc: 8.2739 8.2739 8.2739
angles: 90.00 90.00 90.00
Closest atoms and distances in Å follow each position.
Space group Fm-3m (No. 225)
Inequivalent atoms, fractional coordinates:
Li 0.0000 0.0000 0.0000 [4 per cell]  8 Eu 3.58
Pr 0.0000 0.0000 0.5000 [4 per cell]  8 Eu 3.58
Eu 0.2500 0.2500 0.2500 [8 per cell]  4 Li 3.58, 4 Pr 3.58

Material: LiPrEu
Method: DFT, PBE
State: optimized geometry

The calculation puts the offset from the most stable computed form at 0.0 meV per atom. As for the magnetization: 8.0 μB/f.u. The crystal system is tetragonal. Its energy is -5.556 eV/atom.

abc: 3.8549 3.8549 13.1862
angles: 90.00 90.00 90.00
Closest atoms and distances in Å follow each position.
Space group I4mm (No. 107)
Inequivalent atoms, fractional coordinates:
Li 0.0000 0.0000 0.0000 [2 per cell]  4 Pr 3.34, 4 Eu 3.40
Pr 0.0000 0.0000 0.6458 [2 per cell]  4 Li 3.34
Eu 0.0000 0.0000 0.3465 [2 per cell]  4 Li 3.40, 4 Pr 3.80